# 1
Material: MgS
Method: DFT, GGA-PBE
State: relaxed

Geometry as extended XYZ:
```
8
Lattice="6.875 0.000 0.000 0.000 6.875 0.000 0.000 0.000 4.080" Properties=species:S:1:pos:R:3 pbc="T T T"
Mg 1.189 1.189 0.000
Mg 2.248 4.627 2.040
Mg 4.627 2.248 2.040
Mg 5.685 5.685 0.000
S 1.293 5.582 0.000
S 2.145 2.145 2.040
S 4.730 4.730 2.040
S 5.582 1.293 0.000
```

Properties
Symmetry: P4_2/mnm
Energy relative to the elements, uncorrected: -135.4 kJ/mol of atoms
Total energy: -4.264 eV/atom

# 2
Material: Ac2In2Ag
Method: DFT, GGA-PBE
State: relaxed

Geometry as extended XYZ:
```
10
Lattice="5.901 -2.510 0.000 5.901 2.510 0.000 -5.686 0.000 10.720" Properties=species:S:1:pos:R:3 pbc="T T T"
Ac -1.661 0.000 3.576
Ac 1.581 0.000 1.177
Ac 4.535 0.000 9.543
Ac 7.777 0.000 7.144
In 1.728 0.000 4.691
In 4.998 0.000 1.228
In 1.117 0.000 9.493
In 4.388 0.000 6.029
Ag -0.496 0.000 7.019
Ag 6.611 0.000 3.701
```

Properties
Symmetry: C2/m
DFT formation energy: -0.405 eV per atom
Total energy: -3.714 eV/atom

Going through the records in order, we get spin magnetization values of 0.0; 0.0 μB per formula unit.
Going through the records in order, we get DOS(E_F) values of 0.000; 0.938 states/eV per atom.